LiPm2Ag3: optimized geometry, PBE-GGA. Values from VASP.

Properties
Density in Mg/m³: 7.3
Energy above the most stable polymorph in this dataset in meV/atom: 11
Spin magnetization in μB per formula unit: 0.0
Space-group type: P-3m1, No. 164

Structure (Quantum ESPRESSO input):
```
&SYSTEM
  ibrav = 0, nat = 12, ntyp = 3
/
ATOMIC_SPECIES
Pm 145.00 Pm.upf
Ag 107.87 Ag.upf
Li 6.94 Li.upf
ATOMIC_POSITIONS crystal
Pm 0.0000 0.0000 0.5000
Pm 0.0000 0.0000 0.0000
Pm 0.6667 0.3333 0.8152
Pm 0.3333 0.6667 0.1848
Ag 0.0000 0.0000 0.2504
Ag 0.0000 0.0000 0.7496
Ag 0.6667 0.3333 0.0886
Ag 0.3333 0.6667 0.9114
Ag 0.3333 0.6667 0.4384
Ag 0.6667 0.3333 0.5616
Li 0.6667 0.3333 0.3320
Li 0.3333 0.6667 0.6680
CELL_PARAMETERS angstrom
5.1618 0.0000 0.0000
-2.5809 4.4703 0.0000
0.0000 0.0000 12.2879
```

---

Li6PmAg6: optimized geometry, PBE-GGA. Values from VASP.

Properties
Density in Mg/m³: 5.7
Energy above the most stable polymorph in this dataset in meV/atom: 0
Spin magnetization in μB per formula unit: 0.0
Space-group type: Immm, No. 71

Structure (Quantum ESPRESSO input):
```
&SYSTEM
  ibrav = 0, nat = 13, ntyp = 3
/
ATOMIC_SPECIES
Li 6.94 Li.upf
Ag 107.87 Ag.upf
Pm 145.00 Pm.upf
ATOMIC_POSITIONS crystal
Li 0.3585 0.6415 0.6415
Li 0.7119 0.7881 0.7881
Li 0.0000 0.6544 0.3456
Li 0.6415 0.3585 0.3585
Li 0.0000 0.3456 0.6544
Li 0.2881 0.2119 0.2119
Ag 0.5000 0.2037 0.7963
Ag 0.5000 0.0000 0.5000
Ag 0.0000 0.0000 0.5000
Ag 0.5000 0.7963 0.2037
Ag 0.5000 0.5000 0.0000
Ag 0.0000 0.5000 0.0000
Pm 0.0000 0.0000 0.0000
CELL_PARAMETERS angstrom
5.1826 0.0000 2.0715
2.4463 6.6097 1.3985
0.1354 0.2323 7.1802
```

---

Li7Pm3Ag4: optimized geometry, PBE-GGA. Values from VASP.

Properties
Density in Mg/m³: 5.0
Spin magnetization in μB per formula unit: 0.0
Space-group type: C2/m, No. 12

Structure (Quantum ESPRESSO input):
```
&SYSTEM
  ibrav = 0, nat = 14, ntyp = 3
/
ATOMIC_SPECIES
Pm 145.00 Pm.upf
Ag 107.87 Ag.upf
Li 6.94 Li.upf
ATOMIC_POSITIONS crystal
Pm 0.7020 0.8169 0.7791
Pm 0.0000 0.5000 0.5000
Pm 0.2980 0.1831 0.2209
Ag 0.1066 0.1079 0.6789
Ag 0.8934 0.8921 0.3211
Ag 0.3456 0.5525 0.7563
Ag 0.6544 0.4475 0.2437
Li 0.1622 0.6066 0.0691
Li 0.5166 0.7813 0.1855
Li 0.4834 0.2187 0.8145
Li 0.8378 0.3934 0.9309
Li 0.0000 0.0000 0.0000
Li 0.6749 0.1575 0.4928
Li 0.3251 0.8425 0.5072
CELL_PARAMETERS angstrom
-3.9433 -0.5634 1.6452
-4.5488 -3.1483 -6.3362
-0.4831 -9.0121 1.4008
```

---

Number 1: formation energy -119 kJ/mol of formula units, DOS at the Fermi energy 8.20 states/eV/cell. Number 2: formation energy -202 kJ/mol of formula units, DOS at the Fermi energy 5.86 states/eV/cell. Number 3: formation energy -172 kJ/mol of formula units, DOS at the Fermi energy 7.47 states/eV/cell.